A plane-wave DFT calculation with PBE-GGA was carried out for LaCd2Au after structural relaxation.

abc: 5.134 5.134 5.134
angles: 60.00 60.00 60.00
Fractional coordinates of all 4 atoms:
Cd (0.250, 0.250, 0.250)
Cd (0.750, 0.750, 0.750)
La (0.000, 0.000, 0.000)
Au (0.500, 0.500, 0.500)

Results
Calculated formation energy ... -0.38 eV per atom
Crystal system ... cubic
SG ... No. 225

A plane-wave DFT calculation with PBE-GGA was carried out for YTm2ScIn2 after structural relaxation.

abc: 5.253 6.645 9.100
angles: 90.00 90.00 90.00
Fractional coordinates of all 12 atoms:
Sc (0.500, 0.754, 0.329)
Sc (0.500, 0.254, 0.671)
In (0.000, 0.759, 0.173)
In (0.500, 0.757, 0.660)
In (0.000, 0.259, 0.827)
In (0.500, 0.257, 0.340)
Y (0.000, 0.007, 0.498)
Y (0.000, 0.507, 0.502)
Tm (0.500, 0.008, 0.003)
Tm (0.000, 0.261, 0.163)
Tm (0.000, 0.761, 0.837)
Tm (0.500, 0.508, 0.997)

Results
Calculated formation energy ... -0.36 eV per atom
Crystal system ... orthorhombic
SG ... No. 26

A plane-wave DFT calculation with PBE-GGA was carried out for NaMgAl4 after structural relaxation.

abc: 5.533 5.533 5.533
angles: 60.00 60.00 60.00
Fractional coordinates of all 6 atoms:
Al (0.625, 0.625, 0.125)
Al (0.625, 0.125, 0.625)
Al (0.125, 0.625, 0.625)
Al (0.625, 0.625, 0.625)
Mg (0.000, 0.000, 0.000)
Na (0.250, 0.250, 0.250)

Results
Calculated formation energy ... 0.01 eV per atom
Crystal system ... cubic
SG ... No. 216